## YTh2Tl (GGA-PBE)

Data for a geometry-optimized YTh2Tl structure.

Computed properties:
DFT formation energy = -0.10 eV/atom
Symmetry = P4/mmm (123)
Energy relative to the lowest polymorph listed for this composition = 0.0 meV/atom
Calculated total energy = -24.08 eV/cell

a b c (Å): 5.1652 4.8086 4.8086
angles (deg): 90.00 90.00 90.00
Positions (direct):
Y: 0.5000 0.0000 0.0000
Tl: 0.5000 0.5000 0.5000
Th: 0.0000 0.0000 0.5000
Th: 0.0000 0.5000 0.0000

## YTh2Tl (GGA-PBE)

Data for a geometry-optimized YTh2Tl structure.

Computed properties:
DFT formation energy = 0.03 eV/atom
Symmetry = R3m (160)
Energy relative to the lowest polymorph listed for this composition = 131.0 meV/atom
Calculated total energy = -23.56 eV/cell

a b c (Å): 3.5430 3.5430 11.7829
angles (deg): 81.37 81.37 59.97
Positions (direct):
Y: 0.6661 0.6661 0.0017
Th: 0.0859 0.0859 0.7431
Th: 0.2477 0.2477 0.2566
Tl: 0.5003 0.5003 0.4985

## YThTl2 (GGA-PBE)

Data for a geometry-optimized YThTl2 structure.

Computed properties:
DFT formation energy = -0.22 eV/atom
Symmetry = P4/mmm (123)
Calculated total energy = -19.49 eV/cell

a b c (Å): 4.5106 5.0344 5.0344
angles (deg): 90.00 90.00 90.00
Positions (direct):
Y: 0.5000 0.0000 0.0000
Tl: 0.0000 0.0000 0.5000
Tl: 0.0000 0.5000 0.0000
Th: 0.5000 0.5000 0.5000

## Y2Th2Tl7 (GGA-PBE)

Data for a geometry-optimized Y2Th2Tl7 structure.

Computed properties:
DFT formation energy = -0.01 eV/atom
Symmetry = C2/m (12)
Calculated total energy = -44.47 eV/cell

a b c (Å): 9.0126 5.2232 9.0126
angles (deg): 62.05 105.17 117.95
Positions (direct):
Y: 0.7832 0.5000 0.7832
Y: 0.2168 0.5000 0.2168
Th: 0.7418 0.1885 0.2582
Th: 0.2582 0.8115 0.7418
Tl: 0.0193 0.2034 0.6064
Tl: 0.6064 0.7966 0.0193
Tl: 0.9807 0.7966 0.3936
Tl: 0.3936 0.2034 0.9807
Tl: 0.0000 0.0000 0.0000
Tl: 0.4337 0.6326 0.5663
Tl: 0.5663 0.3674 0.4337

## YTh2Tl (GGA-PBE)

Data for a geometry-optimized YTh2Tl structure.

Computed properties:
DFT formation energy = -0.06 eV/atom
Symmetry = P2_1/m (11)
Energy relative to the lowest polymorph listed for this composition = 41.2 meV/atom
Calculated total energy = -47.84 eV/cell

a b c (Å): 5.6733 6.1500 6.9050
angles (deg): 88.54 90.00 90.00
Positions (direct):
Y: 0.2500 0.6644 0.5015
Y: 0.7500 0.3356 0.4985
Th: 0.7500 0.3596 0.0034
Th: 0.2500 0.6404 0.9966
Th: 0.2500 0.1251 0.8010
Th: 0.7500 0.8749 0.1990
Tl: 0.7500 0.8308 0.7052
Tl: 0.2500 0.1692 0.2948

## YTh4Tl5 (GGA-PBE)

Data for a geometry-optimized YTh4Tl5 structure.

Computed properties:
DFT formation energy = -0.19 eV/atom
Symmetry = P4/mmm (123)
Calculated total energy = -49.85 eV/cell

a b c (Å): 3.5585 3.5585 22.7857
angles (deg): 90.00 90.00 90.00
Positions (direct):
Y: 0.0000 0.0000 0.0000
Th: 0.0000 0.0000 0.1955
Th: 0.0000 0.0000 0.3983
Th: 0.0000 0.0000 0.6017
Th: 0.0000 0.0000 0.8045
Tl: 0.5000 0.5000 0.0941
Tl: 0.5000 0.5000 0.2969
Tl: 0.5000 0.5000 0.5000
Tl: 0.5000 0.5000 0.7031
Tl: 0.5000 0.5000 0.9059

## Y3ThTl4 (GGA-PBE)

Data for a geometry-optimized Y3ThTl4 structure.

Computed properties:
DFT formation energy = -0.29 eV/atom
Symmetry = Pmma (51)
Calculated total energy = -77.23 eV/cell

a b c (Å): 5.5472 7.3971 10.9157
angles (deg): 90.00 90.00 90.00
Positions (direct):
Y: 0.0000 0.0000 0.0000
Y: 0.0000 0.0000 0.5000
Y: 0.5602 0.0000 0.7500
Y: 0.4398 0.0000 0.2500
Y: 0.5587 0.5000 0.7500
Y: 0.4413 0.5000 0.2500
Tl: 0.5000 0.7593 0.0000
Tl: 0.5000 0.7593 0.5000
Tl: 0.5000 0.2407 0.0000
Tl: 0.5000 0.2407 0.5000
Tl: 0.0660 0.7586 0.7500
Tl: 0.9340 0.7586 0.2500
Tl: 0.9340 0.2414 0.2500
Tl: 0.0660 0.2414 0.7500
Th: 0.0000 0.5000 0.0000
Th: 0.0000 0.5000 0.5000

## YTh2Tl (GGA-PBE)

Data for a geometry-optimized YTh2Tl structure.

Computed properties:
DFT formation energy = 0.19 eV/atom
Symmetry = R-3m (166)
Energy relative to the lowest polymorph listed for this composition = 294.4 meV/atom
Calculated total energy = -22.91 eV/cell

a b c (Å): 3.4183 3.4183 12.5776
angles (deg): 82.19 82.19 60.00
Positions (direct):
Y: 0.0000 0.0000 0.0000
Tl: 0.5000 0.5000 0.5000
Th: 0.0899 0.0899 0.7304
Th: 0.9101 0.9101 0.2696

Which value of calculated total energy does entry 1 give?
-24.08 eV/cell